Record 1
A PBEsol-optimized structure of CuSiO3. Source: Alexandria via LeMat-Bulk, functional meta-GGA SCAN.

Values from the calculation:
* formation energy without anion corrections: -2107 meV/atom
* density of states at the Fermi level: 0.000 states/eV per atom
* total magnetic moment: 1.000 μB per formula unit

a b c (Å): 2.837 4.735 8.601
angles (deg): 90.00 90.00 90.00
Last column: magnetic moment on the atom in μB.
Element x y z (fractional)
Cu  0.000  0.500  0.000  0.73
Cu  0.000  0.500  0.500  0.73
Si  0.500  0.098  0.250  0.01
Si  0.500  0.902  0.750  0.01
O  0.500  0.712  0.908  0.12
O  0.500  0.712  0.592  0.12
O  0.500  0.288  0.408  0.12
O  0.000  0.087  0.750  0.01
O  0.500  0.288  0.092  0.12
O  0.000  0.913  0.250  0.01

***

Record 2
A PBEsol-optimized structure of Sr2CuSi2O7. Source: Alexandria via LeMat-Bulk, functional meta-GGA SCAN.

Values from the calculation:
* formation energy without anion corrections: -2851 meV/atom
* total magnetic moment: 1.004 μB per formula unit

a b c (Å): 5.028 8.112 8.112
angles (deg): 90.00 90.00 90.00
Last column: magnetic moment on the atom in μB.
Element x y z (fractional)
O  0.319  0.418  0.308  0.06
O  0.681  0.308  0.582  0.06
O  0.319  0.192  0.082  0.06
O  0.785  0.635  0.865  0.00
O  0.319  0.582  0.692  0.06
O  0.681  0.082  0.808  0.06
O  0.215  0.135  0.635  0.00
O  0.654  0.000  0.500  0.00
O  0.785  0.365  0.135  0.00
O  0.681  0.918  0.192  0.06
O  0.215  0.865  0.365  0.00
O  0.319  0.808  0.918  0.06
O  0.346  0.500  0.000  0.00
O  0.681  0.692  0.418  0.06
Sr  0.992  0.334  0.834  0.00
Sr  0.008  0.166  0.334  0.00
Sr  0.992  0.666  0.166  0.00
Sr  0.008  0.834  0.666  0.00
Si  0.464  0.363  0.137  0.00
Si  0.536  0.137  0.637  0.00
Si  0.536  0.863  0.363  0.00
Si  0.464  0.637  0.863  0.00
Cu  0.500  0.000  0.000  0.73
Cu  0.500  0.500  0.500  0.73

***

Record 3
A PBEsol-optimized structure of ZnCuSi4O10. Source: Alexandria via LeMat-Bulk, functional meta-GGA SCAN.

Values from the calculation:
* formation energy without anion corrections: -2528 meV/atom
* density of states at the Fermi level: 0.000 states/eV per atom
* total magnetic moment: 1.000 μB per formula unit

a b c (Å): 7.159 7.159 14.758
angles (deg): 90.00 90.00 90.00
Last column: magnetic moment on the atom in μB.
Element x y z (fractional)
Si  0.666  0.262  0.857  0.00
Si  0.666  0.738  0.357  0.00
Si  0.166  0.238  0.643  0.00
Si  0.334  0.738  0.857  0.00
Si  0.166  0.762  0.143  0.00
Si  0.238  0.166  0.857  0.00
Si  0.262  0.666  0.643  0.00
Si  0.762  0.166  0.357  0.00
Si  0.262  0.334  0.143  0.00
Si  0.834  0.762  0.643  0.00
Si  0.762  0.834  0.857  0.00
Si  0.738  0.666  0.143  0.00
Si  0.238  0.834  0.357  0.00
Si  0.738  0.334  0.643  0.00
Si  0.334  0.262  0.357  0.00
Si  0.834  0.238  0.143  0.00
Zn  0.000  0.000  0.500  0.01
Zn  0.500  0.500  0.000  0.01
Zn  0.000  0.000  0.000  0.01
Zn  0.500  0.500  0.500  0.01
O  0.246  0.943  0.877  0.00
O  0.079  0.762  0.426  0.06
O  0.754  0.057  0.877  0.00
O  0.557  0.746  0.877  0.00
O  0.443  0.746  0.377  0.00
O  0.246  0.057  0.377  0.00
O  0.057  0.754  0.623  0.00
O  0.306  0.306  0.250  0.00
O  0.754  0.943  0.377  0.00
O  0.557  0.254  0.377  0.00
O  0.262  0.579  0.926  0.06
O  0.694  0.306  0.750  0.00
O  0.943  0.754  0.123  0.00
O  0.057  0.246  0.123  0.00
O  0.238  0.921  0.074  0.06
O  0.579  0.262  0.574  0.06
O  0.746  0.443  0.123  0.00
O  0.254  0.443  0.623  0.00
O  0.079  0.238  0.926  0.06
O  0.943  0.246  0.623  0.00
O  0.806  0.806  0.750  0.00
O  0.921  0.238  0.426  0.06
O  0.262  0.421  0.426  0.06
O  0.306  0.694  0.750  0.00
O  0.806  0.194  0.250  0.00
O  0.443  0.254  0.877  0.00
O  0.738  0.579  0.426  0.06
O  0.921  0.762  0.926  0.06
O  0.579  0.738  0.074  0.06
O  0.746  0.557  0.623  0.00
O  0.254  0.557  0.123  0.00
O  0.194  0.806  0.250  0.00
O  0.738  0.421  0.926  0.06
O  0.421  0.738  0.574  0.06
O  0.762  0.079  0.074  0.06
O  0.762  0.921  0.574  0.06
O  0.421  0.262  0.074  0.06
O  0.238  0.079  0.574  0.06
O  0.194  0.194  0.750  0.00
O  0.694  0.694  0.250  0.00
Cu  0.000  0.500  0.431  0.73
Cu  0.000  0.500  0.931  0.73
Cu  0.500  0.000  0.569  0.73
Cu  0.500  0.000  0.069  0.73

***

Record 4
A PBEsol-optimized structure of Sm2CuO4. Source: Alexandria via LeMat-Bulk, functional meta-GGA SCAN.

Values from the calculation:
* formation energy without anion corrections: -2931 meV/atom
* density of states at the Fermi level: 0.056 states/eV per atom
* total magnetic moment: 0.000 μB per formula unit

a b c (Å): 3.880 3.880 6.560
angles (deg): 107.20 107.20 90.00
Element x y z (fractional)
Cu  0.000  0.000  0.000
Sm  0.650  0.650  0.299
Sm  0.350  0.350  0.701
O  0.250  0.750  0.500
O  0.000  0.500  0.000
O  0.500  0.000  0.000
O  0.750  0.250  0.500

***

Record 5
A PBEsol-optimized structure of Sm2Cu2O5. Source: Alexandria via LeMat-Bulk, functional meta-GGA SCAN.

Values from the calculation:
* formation energy without anion corrections: -2377 meV/atom
* density of states at the Fermi level: 0.173 states/eV per atom
* total magnetic moment: 1.116 μB per formula unit

a b c (Å): 3.704 5.646 9.740
angles (deg): 90.00 90.00 90.00
Last column: magnetic moment on the atom in μB.
Element x y z (fractional)
Sm  0.500  0.638  0.652  -0.01
Sm  0.500  0.362  0.348  -0.01
Sm  0.500  0.862  0.152  -0.01
Sm  0.500  0.138  0.848  -0.01
Cu  0.000  0.182  0.591  0.39
Cu  0.000  0.318  0.091  0.39
Cu  0.000  0.818  0.409  0.39
Cu  0.000  0.682  0.909  0.39
O  0.000  0.403  0.792  0.08
O  0.500  0.723  0.902  0.07
O  0.000  0.500  0.500  0.05
O  0.500  0.777  0.402  0.07
O  0.500  0.277  0.098  0.07
O  0.500  0.223  0.598  0.07
O  0.000  0.000  0.000  0.05
O  0.000  0.597  0.208  0.08
O  0.000  0.097  0.292  0.08
O  0.000  0.903  0.708  0.08

***

Record 6
A PBEsol-optimized structure of SmCu2O4. Source: Alexandria via LeMat-Bulk, functional meta-GGA SCAN.

Values from the calculation:
* formation energy without anion corrections: -1921 meV/atom
* density of states at the Fermi level: 0.203 states/eV per atom
* total magnetic moment: 1.000 μB per formula unit

a b c (Å): 5.690 6.266 5.690
angles (deg): 62.99 90.00 117.01
Last column: magnetic moment on the atom in μB.
Element x y z (fractional)
O  0.695  0.102  0.163  0.06
O  0.343  0.398  0.016  0.06
O  0.587  0.602  0.343  0.06
O  0.055  0.398  0.587  0.06
O  0.016  0.602  0.055  0.06
O  0.734  0.898  0.695  0.06
O  0.407  0.102  0.734  0.06
O  0.163  0.898  0.407  0.06
Cu  0.875  0.250  0.375  0.36
Cu  0.375  0.750  0.375  0.36
Cu  0.375  0.250  0.375  0.36
Cu  0.375  0.750  0.875  0.36
Sm  0.750  0.500  0.750  0.02
Sm  0.000  0.000  0.000  0.02

***

Record 7
A PBEsol-optimized structure of Sr2SmTaCu2O8. Source: Alexandria via LeMat-Bulk, functional meta-GGA SCAN.

Values from the calculation:
* formation energy without anion corrections: -2642 meV/atom
* density of states at the Fermi level: 0.167 states/eV per atom
* total magnetic moment: 0.000 μB per formula unit

a b c (Å): 3.898 3.898 11.462
angles (deg): 90.00 90.00 90.00
Element x y z (fractional)
O  0.000  0.000  0.829
O  0.000  0.500  0.000
O  0.500  0.000  0.000
O  0.000  0.500  0.629
O  0.000  0.500  0.371
O  0.000  0.000  0.171
O  0.500  0.000  0.629
O  0.500  0.000  0.371
Cu  0.000  0.000  0.361
Cu  0.000  0.000  0.639
Sr  0.500  0.500  0.201
Sr  0.500  0.500  0.799
Ta  0.000  0.000  0.000
Sm  0.500  0.500  0.500

***

Record 8
A PBEsol-optimized structure of Sm2Ti12Cu9O36. Source: Alexandria via LeMat-Bulk, functional meta-GGA SCAN.

Values from the calculation:
* formation energy without anion corrections: -2616 meV/atom
* total magnetic moment: 9.000 μB per formula unit

a b c (Å): 6.394 10.406 10.406
angles (deg): 120.00 90.00 90.00
Last column: magnetic moment on the atom in μB.
Element x y z (fractional)
Ti  0.162  0.161  0.842  0.05
Ti  0.500  0.500  0.500  0.05
Ti  0.839  0.333  0.667  0.05
Ti  0.162  0.158  0.318  0.05
Ti  0.162  0.682  0.839  0.05
Ti  0.838  0.318  0.161  0.05
Ti  0.161  0.667  0.333  0.05
Ti  0.500  0.000  0.500  0.05
Ti  0.500  0.000  0.000  0.06
Ti  0.838  0.842  0.682  0.05
Ti  0.838  0.839  0.158  0.05
Ti  0.500  0.500  0.000  0.05
Cu  0.660  0.168  0.832  0.67
Cu  0.000  0.500  0.000  0.67
Cu  0.340  0.832  0.663  0.67
Cu  0.340  0.337  0.168  0.67
Cu  0.660  0.663  0.832  0.67
Cu  0.000  0.000  0.500  0.67
Cu  0.000  0.500  0.500  0.67
Cu  0.340  0.832  0.168  0.67
Cu  0.660  0.168  0.337  0.67
O  0.091  0.955  0.730  0.05
O  0.669  0.851  0.015  0.05
O  0.249  0.551  0.625  0.06
O  0.646  0.176  0.526  0.06
O  0.985  0.809  0.317  0.06
O  0.015  0.191  0.683  0.06
O  0.985  0.683  0.492  0.06
O  0.751  0.926  0.551  0.06
O  0.413  0.118  0.708  0.07
O  0.331  0.149  0.985  0.05
O  0.354  0.824  0.474  0.06
O  0.354  0.650  0.176  0.06
O  0.249  0.375  0.926  0.06
O  0.646  0.350  0.824  0.06
O  0.669  0.985  0.835  0.05
O  0.015  0.492  0.809  0.06
O  0.909  0.730  0.776  0.05
O  0.091  0.776  0.045  0.05
O  0.751  0.449  0.375  0.06
O  0.331  0.015  0.165  0.05
O  0.331  0.835  0.851  0.05
O  0.413  0.292  0.410  0.07
O  0.587  0.708  0.590  0.07
O  0.587  0.882  0.292  0.07
O  0.587  0.410  0.118  0.07
O  0.015  0.317  0.508  0.06
O  0.646  0.474  0.650  0.06
O  0.669  0.165  0.149  0.05
O  0.909  0.045  0.270  0.05
O  0.909  0.224  0.955  0.05
O  0.249  0.074  0.449  0.06
O  0.751  0.625  0.074  0.06
O  0.985  0.508  0.191  0.06
O  0.413  0.590  0.882  0.07
O  0.091  0.270  0.224  0.05
O  0.354  0.526  0.350  0.06
Sm  0.328  0.333  0.667  0.00
Sm  0.672  0.667  0.333  0.00

***

Please write out number 8 again, unchanged.
A PBEsol-optimized structure of Sm2Ti12Cu9O36. Source: Alexandria via LeMat-Bulk, functional meta-GGA SCAN.

Values from the calculation:
* formation energy without anion corrections: -2616 meV/atom
* total magnetic moment: 9.000 μB per formula unit

a b c (Å): 6.394 10.406 10.406
angles (deg): 120.00 90.00 90.00
Last column: magnetic moment on the atom in μB.
Element x y z (fractional)
Ti  0.162  0.161  0.842  0.05
Ti  0.500  0.500  0.500  0.05
Ti  0.839  0.333  0.667  0.05
Ti  0.162  0.158  0.318  0.05
Ti  0.162  0.682  0.839  0.05
Ti  0.838  0.318  0.161  0.05
Ti  0.161  0.667  0.333  0.05
Ti  0.500  0.000  0.500  0.05
Ti  0.500  0.000  0.000  0.06
Ti  0.838  0.842  0.682  0.05
Ti  0.838  0.839  0.158  0.05
Ti  0.500  0.500  0.000  0.05
Cu  0.660  0.168  0.832  0.67
Cu  0.000  0.500  0.000  0.67
Cu  0.340  0.832  0.663  0.67
Cu  0.340  0.337  0.168  0.67
Cu  0.660  0.663  0.832  0.67
Cu  0.000  0.000  0.500  0.67
Cu  0.000  0.500  0.500  0.67
Cu  0.340  0.832  0.168  0.67
Cu  0.660  0.168  0.337  0.67
O  0.091  0.955  0.730  0.05
O  0.669  0.851  0.015  0.05
O  0.249  0.551  0.625  0.06
O  0.646  0.176  0.526  0.06
O  0.985  0.809  0.317  0.06
O  0.015  0.191  0.683  0.06
O  0.985  0.683  0.492  0.06
O  0.751  0.926  0.551  0.06
O  0.413  0.118  0.708  0.07
O  0.331  0.149  0.985  0.05
O  0.354  0.824  0.474  0.06
O  0.354  0.650  0.176  0.06
O  0.249  0.375  0.926  0.06
O  0.646  0.350  0.824  0.06
O  0.669  0.985  0.835  0.05
O  0.015  0.492  0.809  0.06
O  0.909  0.730  0.776  0.05
O  0.091  0.776  0.045  0.05
O  0.751  0.449  0.375  0.06
O  0.331  0.015  0.165  0.05
O  0.331  0.835  0.851  0.05
O  0.413  0.292  0.410  0.07
O  0.587  0.708  0.590  0.07
O  0.587  0.882  0.292  0.07
O  0.587  0.410  0.118  0.07
O  0.015  0.317  0.508  0.06
O  0.646  0.474  0.650  0.06
O  0.669  0.165  0.149  0.05
O  0.909  0.045  0.270  0.05
O  0.909  0.224  0.955  0.05
O  0.249  0.074  0.449  0.06
O  0.751  0.625  0.074  0.06
O  0.985  0.508  0.191  0.06
O  0.413  0.590  0.882  0.07
O  0.091  0.270  0.224  0.05
O  0.354  0.526  0.350  0.06
Sm  0.328  0.333  0.667  0.00
Sm  0.672  0.667  0.333  0.00

***

Look up the formation energy without anion corrections of the first one. -2107 meV/atom